A plane-wave DFT calculation with PBE was carried out for a relaxed FeAgRh2 crystal.

The space group is Cmm2 (No. 35) and the conventional cell measures 2.767, 4.636 and 9.266 Å, with angles of 90.00, 90.00 and 90.00 degrees. Symmetry generates all atoms from Fe at (0.000, 0.000, 0.000), Ag at (0.000, 0.500, 0.745), Rh at (0.000, 0.000, 0.478) and Rh at (0.000, 0.500, 0.228).

Its crystal system is orthorhombic. Its energy is -49.8 eV/cell.


A plane-wave DFT calculation with PBE was carried out for a relaxed Fe2AgRh crystal.

The space group is R3m (No. 160, hexagonal axes) and the conventional cell measures 2.7480, 2.7480 and 26.1511 Å, with angles of 90.00, 90.00 and 120.00 degrees. Symmetry generates all atoms from Fe at (0.0000, 0.0000, 0.0000), Fe at (0.0000, 0.0000, 0.2592), Ag at (0.0000, 0.0000, 0.7549) and Rh at (0.0000, 0.0000, 0.5151).

Its crystal system is trigonal. Its energy is -79.1 eV/cell.